First-principles (PBE) data for LiUSnIr after structural relaxation, as listed in Alexandria via LeMat-Bulk.

a b c (Å): 4.7435 4.7435 4.7435
angles (deg): 60.00 60.00 60.00
Each line ends with the local moment (μB).
Atoms (fractional coordinates):
Ir 0.0000 0.0000 0.0000  -0.14
U 0.2500 0.2500 0.2500  1.99
Sn 0.7500 0.7500 0.7500  -0.02
Li 0.5000 0.5000 0.5000  0.03

Crystal system: cubic
Electronic total energy in eV/atom: -6.8294
ΔE_f in eV/f.u.: -1.252
Space group: No. 216